Material: Na4IO6
Method: DFT, GGA-PBE
State: optimized geometry

Results
symmetry = R-3c, No. 167
raw formation energy = -1.09 eV/atom

a = 6.7525 Å, b = 6.7525 Å, c = 6.7525 Å
α = 90.09°, β = 90.09°, γ = 90.09°
With the nearest neighbours (Å) after each atom.
Fractional positions:
Na1 0.0862 0.7500 0.4138  6 O 2.42-2.67
Na2 0.2500 0.2500 0.2500  6 O 2.39
Na3 0.2500 0.5862 0.9138  6 O 2.42-2.67
Na4 0.4138 0.0862 0.7500  6 O 2.42-2.67
Na5 0.5862 0.9138 0.2500  6 O 2.42-2.67
Na6 0.7500 0.4138 0.0862  6 O 2.42-2.67
Na7 0.7500 0.7500 0.7500  6 O 2.39
Na8 0.9138 0.2500 0.5862  6 O 2.42-2.67
I1 0.0000 0.0000 0.0000  6 O 1.90
I2 0.5000 0.5000 0.5000  6 O 1.90
O1 0.0438 0.9472 0.7267  1 I 1.90
O2 0.0528 0.2733 0.9562  1 I 1.90
O3 0.2267 0.4472 0.5438  1 I 1.90
O4 0.2733 0.9562 0.0528  1 I 1.90
O5 0.4472 0.5438 0.2267  1 I 1.90
O6 0.4562 0.7733 0.5528  1 I 1.90
O7 0.5438 0.2267 0.4472  1 I 1.90
O8 0.5528 0.4562 0.7733  1 I 1.90
O9 0.7267 0.0438 0.9472  1 I 1.90
O10 0.7733 0.5528 0.4562  1 I 1.90
O11 0.9472 0.7267 0.0438  1 I 1.90
O12 0.9562 0.0528 0.2733  1 I 1.90

Material: GaSn2Sb2
Method: DFT, GGA-PBE
State: optimized geometry

Results
symmetry = I4/mmm, No. 139
raw formation energy = 0.26 eV/atom
ΔE to the lowest computed polymorph = 0.1364 eV per atom

a = 4.4339 Å, b = 4.4339 Å, c = 15.3160 Å
α = 90.00°, β = 90.00°, γ = 90.00°
With the nearest neighbours (Å) after each atom.
Fractional positions:
Ga1 0.0000 0.0000 0.0000  8 Sn 3.48
Ga2 0.5000 0.5000 0.5000  8 Sn 3.48
Sn1 0.0000 0.0000 0.4019  1 Sn 3.01, 4 Sb 3.21
Sn2 0.0000 0.0000 0.5981  1 Sn 3.01, 4 Sb 3.21
Sn3 0.5000 0.5000 0.0981  1 Sn 3.01, 4 Sb 3.21
Sn4 0.5000 0.5000 0.9019  1 Sn 3.01, 4 Sb 3.21
Sb1 0.0000 0.5000 0.2500  4 Sb 3.14, 4 Sn 3.21
Sb2 0.0000 0.5000 0.7500  4 Sb 3.14, 4 Sn 3.21
Sb3 0.5000 0.0000 0.2500  4 Sb 3.14, 4 Sn 3.21
Sb4 0.5000 0.0000 0.7500  4 Sb 3.14, 4 Sn 3.21

Material: Zr2ScSb
Method: DFT, GGA-PBE
State: optimized geometry

Results
symmetry = I4/mmm, No. 139
raw formation energy = -0.44 eV/atom

a = 4.3417 Å, b = 4.3417 Å, c = 9.5217 Å
α = 90.00°, β = 90.00°, γ = 90.00°
With the nearest neighbours (Å) after each atom.
Fractional positions:
Zr1 0.0000 0.5000 0.2500  4 Zr 3.07, 4 Sb 3.22, 4 Sc 3.22
Zr2 0.0000 0.5000 0.7500  4 Zr 3.07, 4 Sc 3.22, 4 Sb 3.22
Zr3 0.5000 0.0000 0.2500  4 Zr 3.07, 4 Sb 3.22, 4 Sc 3.22
Zr4 0.5000 0.0000 0.7500  4 Zr 3.07, 4 Sc 3.22, 4 Sb 3.22
Sc1 0.0000 0.0000 0.0000  4 Sb 3.07, 8 Zr 3.22
Sc2 0.5000 0.5000 0.5000  4 Sb 3.07, 8 Zr 3.22
Sb1 0.0000 0.0000 0.5000  4 Sc 3.07, 8 Zr 3.22
Sb2 0.5000 0.5000 0.0000  4 Sc 3.07, 8 Zr 3.22